Record 1
Material: ReSbSe2
Method: DFT, PBE
State: relaxed

Cell: 3.132 4.480 12.535 Å, 90.00 90.00 90.00°
Space group Imm2 (No. 44)
Unique sites:
Re 0.000 0.000 0.000
Sb 0.000 0.500 0.692
Se 0.000 0.000 0.538
Se 0.000 0.500 0.345


Record 2
Material: ReSb2Se
Method: DFT, PBE
State: relaxed

Cell: 3.119 3.119 9.425 Å, 90.00 90.00 90.00°
Space group P4mm (No. 99)
Unique sites:
Re 0.000 0.000 0.000
Sb 0.000 0.000 0.505
Sb 0.500 0.500 0.203
Se 0.500 0.500 0.852


Record 3
Material: ReSbSe2
Method: DFT, PBE
State: relaxed

Cell: 3.254 4.746 11.594 Å, 90.00 90.00 90.00°
Space group Immm (No. 71)
Unique sites:
Re 0.000 0.000 0.000
Sb 0.000 0.000 0.500
Se 0.000 0.500 0.328


Record 4
Material: ReSbSe2
Method: DFT, PBE
State: relaxed

Cell: 4.824 4.824 3.245 Å, 90.00 90.00 90.00°
Space group P4/mmm (No. 123)
Unique sites:
Re 0.000 0.000 0.000
Sb 0.500 0.500 0.000
Se 0.000 0.500 0.500


no.,formation energy from raw total energies (eV/atom),electronic total energy (eV per atom)
1,0.285,-5.60
2,0.247,-5.80
3,0.305,-5.58
4,0.756,-5.13